## In2BMoPd (PBE)

Data for a relaxed In2BMoPd crystal.

Computed properties:
- Magnetic moment: 0.000 μB/f.u.
- Energy relative to the elements: 1652.7 meV per atom
- Fermi-level density of states: 0.889 states/eV per atom
- SG: P4/mmm, No. 123

Unit cell a=5.317 b=5.317 c=4.742 alpha=90.00 beta=90.00 gamma=90.00
Atoms (fractional coordinates):
In1 0.000 0.500 0.000
In2 0.500 0.000 0.000
B1 0.000 0.000 0.500
Mo1 0.500 0.500 0.000
Pd1 0.500 0.500 0.500